Entry from Alexandria: an optimized crystal structure of YCd2Ru (PBE).

Unit cell a=5.3007 b=5.3007 c=5.4367 alpha=67.65 beta=67.65 gamma=37.71
With the nearest neighbours (Å) after each atom.
Sites, in units of the cell vectors:
1 Cd 0.9870 0.9870 0.0284  2 Ru 2.88, 3 Cd 2.90-2.99
2 Cd 0.2210 0.2210 0.2122  2 Ru 2.83, 3 Cd 2.90-2.99
3 Ru 0.5132 0.5132 0.5864  3 Y 2.79-2.89, 4 Cd 2.83-2.88
4 Y 0.7789 0.7789 0.6731  3 Ru 2.79-2.89

Summary:
The calculation puts the energy of formation at -17 meV/atom. The value obtained for the total energy is -17.6 eV/cell.



Entry from Alexandria: an optimized crystal structure of YZn6Pt2 (PBE).

Unit cell a=4.3340 b=7.1010 c=7.1010 alpha=48.14 beta=72.23 gamma=72.23
With the nearest neighbours (Å) after each atom.
Sites, in units of the cell vectors:
1 Y 0.0000 0.0000 0.0000  4 Zn 2.77
2 Zn 0.6981 0.0425 0.5614  3 Zn 2.44-2.51, 1 Pt 2.64
3 Zn 0.3019 0.9575 0.4386  3 Zn 2.44-2.51, 1 Pt 2.64
4 Zn 0.3019 0.4386 0.9575  3 Zn 2.44-2.51, 1 Pt 2.64
5 Zn 0.5000 0.7019 0.2981  3 Zn 2.34-2.44
6 Zn 0.5000 0.2981 0.7019  3 Zn 2.34-2.44
7 Zn 0.6981 0.5614 0.0425  3 Zn 2.44-2.51, 1 Pt 2.64
8 Pt 0.8818 0.6182 0.6182  10 Zn 2.64-2.85, 1 Pt 2.89
9 Pt 0.1182 0.3818 0.3818  10 Zn 2.64-2.85, 1 Pt 2.89

Summary:
The calculation puts the energy of formation at -359 meV/atom. The value obtained for the total energy is -29.4 eV/cell.



Entry from Alexandria: an optimized crystal structure of BaTc2Pb (PBE).

Unit cell a=5.0471 b=5.0471 c=5.0471 alpha=60.00 beta=60.00 gamma=60.00
With the nearest neighbours (Å) after each atom.
Sites, in units of the cell vectors:
1 Ba 0.5000 0.5000 0.5000  4 Pb 3.09, 4 Tc 3.09
2 Pb 0.7500 0.7500 0.7500  4 Ba 3.09, 4 Tc 3.09
3 Tc 0.0000 0.0000 0.0000  4 Pb 3.09, 4 Tc 3.09
4 Tc 0.2500 0.2500 0.2500  4 Ba 3.09, 4 Tc 3.09

Summary:
The calculation puts the energy of formation at 1115 meV/atom. The value obtained for the total energy is -21.9 eV/cell.



Entry from Alexandria: an optimized crystal structure of YHoZnGa (PBE).

Unit cell a=5.0446 b=5.0446 c=5.0446 alpha=60.00 beta=60.00 gamma=60.00
With the nearest neighbours (Å) after each atom.
Sites, in units of the cell vectors:
1 Y 0.7500 0.7500 0.7500  4 Zn 3.09, 4 Ga 3.09
2 Zn 0.5000 0.5000 0.5000  4 Ho 3.09, 4 Y 3.09
3 Ho 0.2500 0.2500 0.2500  4 Zn 3.09, 4 Ga 3.09
4 Ga 0.0000 0.0000 0.0000  4 Ho 3.09, 4 Y 3.09

Summary:
The calculation puts the energy of formation at -491 meV/atom. The value obtained for the total energy is -17.3 eV/cell.



Entry from Alexandria: an optimized crystal structure of FePC3 (PBE).

Unit cell a=4.2617 b=2.5311 c=9.3491 alpha=90.00 beta=100.10 gamma=90.00
With the nearest neighbours (Å) after each atom.
Sites, in units of the cell vectors:
1 P 0.6508 0.0000 0.5863  2 C 1.81-1.82
2 P 0.6508 0.5000 0.0863  2 C 1.81-1.82
3 C 0.5692 0.0000 0.7709  2 C 1.45
4 C 0.5692 0.5000 0.2709  2 C 1.45
5 C 0.4835 0.0000 0.3297  3 C 1.45-1.52
6 C 0.4835 0.5000 0.8297  3 C 1.45-1.52
7 C 0.2881 0.0000 0.4516  1 C 1.52
8 C 0.2881 0.5000 0.9516  1 C 1.52
9 Fe 0.9404 0.0000 0.9556  3 C 1.95-2.13
10 Fe 0.9404 0.5000 0.4556  3 C 1.95-2.13

Summary:
The energy above the most stable polymorph in this dataset comes out at 103.4 kJ/mol of formula units. The calculation puts the energy of formation at 537 meV/atom. The value obtained for the total energy is -77.7 eV/cell.



Entry from Alexandria: an optimized crystal structure of NdHoHg (PBE).

Unit cell a=3.8914 b=5.1605 c=5.1605 alpha=120.00 beta=90.00 gamma=90.00
With the nearest neighbours (Å) after each atom.
Sites, in units of the cell vectors:
1 Nd 0.6660 0.6667 0.3333  6 Hg 3.55-3.56, 6 Ho 3.56, 2 Nd 3.89
2 Hg 0.1685 0.3333 0.6667  3 Ho 2.98
3 Ho 0.1656 0.0000 0.0000  3 Hg 2.98

Summary:
The energy above the most stable polymorph in this dataset comes out at 32.9 kJ/mol of formula units. The calculation puts the energy of formation at -189 meV/atom. The value obtained for the total energy is -10.2 eV/cell.



Entry from Alexandria: an optimized crystal structure of ReSeCl2 (PBE).

Unit cell a=3.0269 b=5.2778 c=4.5384 alpha=90.00 beta=90.00 gamma=90.00
With the nearest neighbours (Å) after each atom.
Sites, in units of the cell vectors:
1 Re 0.5000 0.0000 0.5000  4 Cl 2.73, 2 Re 3.03, 4 Se 3.04
2 Se 0.0000 0.5000 0.5000  4 Cl 2.73, 2 Se 3.03, 4 Re 3.04
3 Cl 0.0000 0.0000 0.0000  4 Re 2.73, 6 Cl 3.03-3.04
4 Cl 0.5000 0.5000 0.0000  4 Se 2.73, 6 Cl 3.03-3.04

Summary:
The energy above the most stable polymorph in this dataset comes out at 460.8 kJ/mol of formula units. For the energy relative to the elements, uncorrected, the calculation gives 1000.5 meV/atom. The value obtained for the total energy is -15.6 eV/cell.



Entry from Alexandria: an optimized crystal structure of La2MgSc (PBE).

Unit cell a=11.6632 b=11.6632 c=11.6632 alpha=17.41 beta=17.41 gamma=17.41
With the nearest neighbours (Å) after each atom.
Sites, in units of the cell vectors:
1 La 0.0026 0.0026 0.0026  3 Sc 3.45, 6 La 3.53, 3 Mg 3.60
2 La 0.4974 0.4974 0.4974  3 Sc 3.45, 6 La 3.53, 3 Mg 3.60
3 Mg 0.2500 0.2500 0.2500  6 Mg 3.53, 6 La 3.60
4 Sc 0.7500 0.7500 0.7500  6 La 3.45, 6 Sc 3.53

Summary:
The calculation puts the energy of formation at 69 meV/atom. The value obtained for the total energy is -17.5 eV/cell.